No. 1
A plane-wave DFT calculation with GGA-PBE was carried out for a geometry-optimized LiCuSbPb structure.

Cell: 4.928 4.928 4.928 Å, 60.00 60.00 60.00°
Fractional coordinates of all 4 atoms:
Pb 0.500 0.500 0.500
Sb 0.000 0.000 0.000
Cu 0.250 0.250 0.250
Li 0.750 0.750 0.750

Results
As for the crystal system: cubic. The calculation puts the energy relative to the elements, uncorrected at -0.032 eV/atom.

=====

No. 2
A plane-wave DFT calculation with GGA-PBE was carried out for a geometry-optimized Rb3GaBi3 structure.

Cell: 8.687 8.687 9.125 Å, 89.75 89.75 101.18°
Fractional coordinates of all 14 atoms:
Rb 0.744 0.256 0.000
Ga 0.782 0.782 0.897
Rb 0.173 0.827 0.500
Bi 0.432 0.185 0.312
Rb 0.827 0.173 0.500
Bi 0.921 0.921 0.142
Ga 0.218 0.218 0.103
Bi 0.568 0.815 0.688
Bi 0.079 0.079 0.858
Rb 0.256 0.744 0.000
Rb 0.623 0.623 0.317
Bi 0.815 0.568 0.688
Rb 0.377 0.377 0.683
Bi 0.185 0.432 0.312

Results
As for the crystal system: monoclinic. Its energy of formation from the pure elements is -0.192 eV per atom.

=====

No. 3
A plane-wave DFT calculation with GGA-PBE was carried out for a geometry-optimized RhC3 structure.

Cell: 3.820 3.019 8.003 Å, 90.00 90.00 90.00°
Fractional coordinates of all 8 atoms:
C 0.673 0.500 0.398
Rh 0.500 0.500 0.638
C 0.500 0.000 0.818
C 0.827 0.000 0.898
C 0.000 0.500 0.318
Rh 0.000 0.000 0.138
C 0.173 0.000 0.898
C 0.327 0.500 0.398

Results
For the relative energy among the computed polymorphs, the calculation gives 0.278 eV/atom. As for the crystal system: orthorhombic. Its energy of formation from the pure elements is 0.846 eV per atom.

=====

No. 4
A plane-wave DFT calculation with GGA-PBE was carried out for a geometry-optimized Sr2LiThPd6 structure.

Cell: 7.552 5.743 6.804 Å, 79.31 61.90 110.67°
Fractional coordinates of all 10 atoms:
Pd 0.642 0.733 0.505
Pd 0.358 0.267 0.495
Pd 0.875 0.019 0.711
Pd 0.386 0.912 0.887
Pd 0.614 0.088 0.113
Th 0.500 0.500 0.000
Sr 0.160 0.638 0.647
Sr 0.840 0.362 0.353
Li 0.000 0.000 0.000
Pd 0.125 0.981 0.289

Results
As for the crystal system: triclinic. Its energy of formation from the pure elements is -0.564 eV per atom.

=====

Copy entry 4 word for word.
A plane-wave DFT calculation with GGA-PBE was carried out for a geometry-optimized Sr2LiThPd6 structure.

Cell: 7.552 5.743 6.804 Å, 79.31 61.90 110.67°
Fractional coordinates of all 10 atoms:
Pd 0.642 0.733 0.505
Pd 0.358 0.267 0.495
Pd 0.875 0.019 0.711
Pd 0.386 0.912 0.887
Pd 0.614 0.088 0.113
Th 0.500 0.500 0.000
Sr 0.160 0.638 0.647
Sr 0.840 0.362 0.353
Li 0.000 0.000 0.000
Pd 0.125 0.981 0.289

Results
As for the crystal system: triclinic. Its energy of formation from the pure elements is -0.564 eV per atom.